Entry 1:
Below is crystalline CeHoCdIr at its relaxed geometry, with properties calculated at the PBE level.

Lattice parameters (Å, degrees): 5.0884 5.0884 5.0884 60.00 60.00 60.00
With the nearest neighbours (Å) after each atom.
Element x y z (fractional)
Ir 0.2500 0.2500 0.2500  4 Ce 3.12, 4 Ho 3.12
Ho 0.0000 0.0000 0.0000  4 Cd 3.12, 4 Ir 3.12
Cd 0.7500 0.7500 0.7500  4 Ce 3.12, 4 Ho 3.12
Ce 0.5000 0.5000 0.5000  4 Cd 3.12, 4 Ir 3.12

Formation energy from the elements: -1.71 eV/f.u.
Magnetic moment: 0.8 Bohr magnetons per cell


Entry 2:
Below is crystalline LaCeHoCd at its relaxed geometry, with properties calculated at the PBE level.

Lattice parameters (Å, degrees): 5.4712 5.4712 5.4712 60.00 60.00 60.00
With the nearest neighbours (Å) after each atom.
Element x y z (fractional)
Ho 0.5000 0.5000 0.5000  4 Cd 3.35, 4 Ce 3.35
Cd 0.7500 0.7500 0.7500  4 Ho 3.35, 4 La 3.35
La 0.0000 0.0000 0.0000  4 Ce 3.35, 4 Cd 3.35
Ce 0.2500 0.2500 0.2500  4 La 3.35, 4 Ho 3.35

Formation energy from the elements: 0.21 eV/f.u.
Magnetic moment: 2.8 Bohr magnetons per cell